The following is a DFT calculation (PBE+U) of a geometry-optimized LiLa2MoO6 structure.

extended XYZ file:
```
20
Lattice="-1.907 5.400 -0.881 -5.207 -1.607 1.416 -3.521 0.235 9.057" Properties=species:S:1:pos:R:3 pbc="T T T"
O -7.529 3.132 4.563
O -4.527 -0.217 7.210
La -2.228 0.001 2.598
O -3.595 2.010 2.299
O -7.040 2.018 7.293
O -1.580 1.442 0.391
Mo -4.364 -0.686 5.236
La -8.407 4.027 6.994
O -4.718 3.591 4.751
O -9.055 2.585 9.200
Mo -3.557 1.896 0.267
O -7.566 0.240 9.421
O -3.106 0.896 5.028
O -5.917 0.436 4.841
La -5.916 1.841 2.803
Li -2.714 2.818 4.088
O -6.108 4.245 2.382
O -3.069 3.788 0.171
Li 0.000 0.000 0.000
La -4.719 2.187 6.788
```

Values from the calculation:
Calculated total energy, eV/atom: -7.56



The following is a DFT calculation (PBE+U) of a geometry-optimized Li3LaMo4O12 structure.

extended XYZ file:
```
20
Lattice="6.691 0.000 0.000 -2.230 6.308 0.000 -2.230 -3.154 5.463" Properties=species:S:1:pos:R:3 pbc="T T T"
Mo -1.115 3.154 0.000
O 2.116 1.274 0.992
Mo 1.115 1.577 2.732
O 1.734 3.505 2.872
O -0.496 2.069 1.599
Mo 3.345 0.000 0.000
O -2.345 3.376 3.864
O -0.114 4.812 0.607
O -1.734 -0.734 4.471
O 0.114 1.880 4.471
O 3.965 3.889 0.992
Li -2.230 1.577 2.732
O 2.726 1.085 3.864
O 2.345 -1.658 4.856
Li 2.230 -1.577 2.732
Mo -1.115 -1.577 2.732
O 4.575 -0.222 1.599
O 0.496 -0.351 2.591
La 0.000 0.000 0.000
Li 2.230 3.154 0.000
```

Values from the calculation:
Calculated total energy, eV/atom: -6.89



> The lowest calculated total energy belongs to which entry?

LiLa2MoO6



> Which formula does entry 1 have?

LiLa2MoO6